--- w ---
The following is a DFT calculation (PBE) of an optimized crystal structure of AsHIr2.

abc: 5.696 5.696 5.696
angles: 129.08 129.08 74.87
Positions (direct):
As1 0.000 0.000 0.000
As2 0.750 0.250 0.500
H1 0.250 0.750 0.500
H2 0.500 0.500 0.000
Ir1 0.236 0.625 0.111
Ir2 0.375 0.486 0.611
Ir3 0.514 0.125 0.889
Ir4 0.875 0.764 0.389

## Properties
Spin magnetization   0.0 μB/f.u.
DOS(E_F)   0.57 states/eV per cell

***

--- x ---
The following is a DFT calculation (PBE) of an optimized crystal structure of AsHIr2.

abc: 4.119 4.119 4.119
angles: 60.00 60.00 60.00
Positions (direct):
As1 0.000 0.000 0.000
H1 0.500 0.500 0.500
Ir1 0.250 0.250 0.250
Ir2 0.750 0.750 0.750

## Properties
Spin magnetization   0.0 μB/f.u.
DOS(E_F)   0.80 states/eV per cell

***

Energy above the most stable structure, in meV per atom: w 0; x 206

***

--- w ---
The following is a DFT calculation (PBE) of an optimized crystal structure of LaAsH2Ir.

abc: 4.224 4.224 4.577
angles: 90.00 90.00 120.00
Positions (direct):
La1 0.000 0.000 0.000
As1 0.667 0.333 0.530
H1 0.333 0.667 0.114
H2 0.667 0.333 0.990
Ir1 0.333 0.667 0.490

## Properties
Spin magnetization   0.0 μB/f.u.
DOS(E_F)   1.70 states/eV per cell

***

--- x ---
The following is a DFT calculation (PBE) of an optimized crystal structure of LaAsH2Ir.

abc: 4.174 4.174 5.161
angles: 104.77 104.77 61.65
Positions (direct):
La1 0.000 0.000 0.000
As1 0.248 0.248 0.626
H1 0.379 0.379 0.183
H2 0.691 0.691 0.271
Ir1 0.554 0.554 0.482

## Properties
Spin magnetization   0.0 μB/f.u.
DOS(E_F)   2.02 states/eV per cell

***

--- y ---
The following is a DFT calculation (PBE) of an optimized crystal structure of LaAsH2Ir.

abc: 4.685 4.144 4.144
angles: 66.18 90.00 90.00
Positions (direct):
La1 0.000 0.000 0.000
As1 0.500 0.675 0.675
H1 0.000 0.663 0.663
H2 0.500 0.083 0.083
Ir1 0.500 0.316 0.316

## Properties
Spin magnetization   0.0 μB/f.u.
DOS(E_F)   2.68 states/eV per cell

***

Energy above the most stable structure, in meV per atom: w 0; x 26; y 140

***

--- w ---
The following is a DFT calculation (PBE) of an optimized crystal structure of LaAsH2Ir.

abc: 5.585 5.585 6.836
angles: 90.00 90.00 138.00
Positions (direct):
La1 0.216 0.784 0.750
La2 0.784 0.216 0.250
As1 0.062 0.938 0.250
As2 0.938 0.062 0.750
H1 0.341 0.659 0.057
H2 0.341 0.659 0.443
H3 0.659 0.341 0.557
H4 0.659 0.341 0.943
Ir1 0.500 0.500 0.000
Ir2 0.500 0.500 0.500

## Properties
Spin magnetization   0.0 μB/f.u.
DOS(E_F)   5.36 states/eV per cell

***

--- x ---
The following is a DFT calculation (PBE) of an optimized crystal structure of LaAsH2Ir.

abc: 4.321 4.321 4.584
angles: 90.00 90.00 120.00
Positions (direct):
La1 0.000 0.000 0.000
As1 0.667 0.333 0.500
H1 0.333 0.667 0.137
H2 0.333 0.667 0.863
Ir1 0.333 0.667 0.500

## Properties
Spin magnetization   0.0 μB/f.u.
DOS(E_F)   2.29 states/eV per cell

***

Energy above the most stable structure, in meV per atom: w 39; x 0

***

--- w ---
The following is a DFT calculation (PBE) of an optimized crystal structure of LaAsH2Ir.

abc: 5.344 5.344 5.344
angles: 47.86 47.86 47.86
Positions (direct):
La1 0.000 0.000 0.000
As1 0.486 0.486 0.486
H1 0.248 0.248 0.248
H2 0.304 0.304 0.304
Ir1 0.790 0.790 0.790

## Properties
Spin magnetization   0.0 μB/f.u.
DOS(E_F)   3.34 states/eV per cell

***

--- x ---
The following is a DFT calculation (PBE) of an optimized crystal structure of LaAsH2Ir.

abc: 4.262 4.262 4.462
angles: 91.43 91.43 65.53
Positions (direct):
La1 0.000 0.000 0.000
As1 0.315 0.315 0.553
H1 0.655 0.655 0.088
H2 0.893 0.893 0.488
Ir1 0.667 0.667 0.471

## Properties
Spin magnetization   0.0 μB/f.u.
DOS(E_F)   1.61 states/eV per cell

***

Energy above the most stable structure, in meV per atom: w 210; x 0

***

--- w ---
The following is a DFT calculation (PBE) of an optimized crystal structure of LaAsH2Ir.

abc: 4.194 4.231 5.440
angles: 69.03 67.70 60.55
Positions (direct):
La1 0.000 0.000 0.000
As1 0.215 0.213 0.363
H1 0.076 0.583 0.739
H2 0.612 0.593 0.737
Ir1 0.496 0.498 0.521

## Properties
Spin magnetization   0.0 μB/f.u.
DOS(E_F)   2.21 states/eV per cell

***

--- x ---
The following is a DFT calculation (PBE) of an optimized crystal structure of LaAsH2Ir.

abc: 4.713 4.713 4.025
angles: 93.20 93.20 56.63
Positions (direct):
La1 0.000 0.000 0.000
As1 0.303 0.303 0.553
H1 0.497 0.497 0.310
H2 0.693 0.693 0.997
Ir1 0.696 0.696 0.430

## Properties
Spin magnetization   0.0 μB/f.u.
DOS(E_F)   0.87 states/eV per cell

***

Energy above the most stable structure, in meV per atom: w 0; x 15

***

--- w ---
The following is a DFT calculation (PBE) of an optimized crystal structure of LaAsH2Ir.

abc: 4.368 4.652 4.997
angles: 102.28 91.25 117.92
Positions (direct):
La1 0.000 0.000 0.000
As1 0.697 0.375 0.469
H1 0.327 0.677 0.036
H2 0.881 0.749 0.425
Ir1 0.250 0.464 0.705

## Properties
Spin magnetization   0.0 μB/f.u.
DOS(E_F)   1.37 states/eV per cell

***

--- x ---
The following is a DFT calculation (PBE) of an optimized crystal structure of LaAsH2Ir.

abc: 4.266 4.299 4.769
angles: 90.00 90.00 90.00
Positions (direct):
La1 0.000 0.000 0.000
As1 0.000 0.500 0.514
H1 0.281 0.500 0.066
H2 0.719 0.500 0.066
Ir1 0.500 0.500 0.782

## Properties
Spin magnetization   0.0 μB/f.u.
DOS(E_F)   1.92 states/eV per cell

***

Energy above the most stable structure, in meV per atom: w 87; x 0

***

--- w ---
The following is a DFT calculation (PBE) of an optimized crystal structure of LaAsH2Ir.

abc: 4.163 4.163 5.609
angles: 109.60 109.60 63.76
Positions (direct):
La1 0.000 0.000 0.000
As1 0.513 0.513 0.529
H1 0.683 0.683 0.060
H2 0.933 0.933 0.509
Ir1 0.180 0.180 0.576

## Properties
Spin magnetization   0.0 μB/f.u.
DOS(E_F)   2.08 states/eV per cell

***

--- x ---
The following is a DFT calculation (PBE) of an optimized crystal structure of LaAsH2Ir.

abc: 4.620 4.620 4.656
angles: 98.43 98.43 59.31
Positions (direct):
La1 0.000 0.000 0.000
As1 0.713 0.713 0.457
H1 0.045 0.045 0.507
H2 0.458 0.458 0.796
Ir1 0.254 0.254 0.625

## Properties
Spin magnetization   0.0 μB/f.u.
DOS(E_F)   1.44 states/eV per cell

***

Energy above the most stable structure, in meV per atom: w 90; x 0

***

--- w ---
The following is a DFT calculation (PBE) of an optimized crystal structure of RbAsHIr.

abc: 4.107 5.661 4.274
angles: 90.00 116.97 90.00
Positions (direct):
Rb1 0.000 0.000 0.000
As1 0.668 0.500 0.326
H1 0.088 0.500 0.898
Ir1 0.332 0.500 0.687

## Properties
Spin magnetization   0.0 μB/f.u.
DOS(E_F)   1.93 states/eV per cell

***

--- x ---
The following is a DFT calculation (PBE) of an optimized crystal structure of RbAsHIr.

abc: 3.111 4.522 6.275
angles: 75.92 89.04 69.89
Positions (direct):
Rb1 0.000 0.000 0.000
As1 0.364 0.248 0.445
H1 0.133 0.692 0.674
Ir1 0.661 0.647 0.538

## Properties
Spin magnetization   0.0 μB/f.u.
DOS(E_F)   0.13 states/eV per cell

***

Energy above the most stable structure, in meV per atom: w 66; x 0